Entry from the Alexandria database: a geometry-optimized Zr2Tl2Cd structure (GGA-PBE).

The value obtained for the energy above the most stable polymorph in this dataset is 0.000 eV per atom. Its density of states at the Fermi level is 0.55 states/eV/atom. The calculation puts the calculated volume at 236.6 Å³ per cell. The calculation puts the energy relative to the elements at 0.09 eV per atom.

The structure belongs to space group P4/mbm (No. 127); the cell edges are 7.607, 7.607 and 4.089 Å and the angles 90.00°, 90.00° and 90.00°. The inequivalent atoms are Zr at (0.172, 0.328, 0.000), Tl at (0.134, 0.634, 0.500) and Cd at (0.000, 0.000, 0.500).